# 1
The following is a PBE calculation of crystalline SrBeAg2 at its relaxed geometry, from Alexandria via LeMat-Bulk.

formation energy from the elements = 177 meV per atom
space group = P4/mmm, No. 123
calculated volume = 81.5 Å³/cell

```
4
Lattice="3.3366 0.0000 0.0000 0.0000 3.3366 0.0000 0.0000 0.0000 7.3235" Properties=species:S:1:pos:R:3 pbc="T T T"
Sr 0.0000 0.0000 0.0000
Be 0.0000 0.0000 3.6618
Ag 1.6683 1.6683 2.3220
Ag 1.6683 1.6683 5.0015
```



# 2
The following is a PBE calculation of crystalline CsNaTiTe2 at its relaxed geometry, from Alexandria via LeMat-Bulk.

energy relative to the elements, uncorrected = -202 kJ/mol of formula units
space group = P4/mmm, No. 123
calculated volume = 179.8 Å³/cell

```
5
Lattice="5.5261 0.0000 0.0000 0.0000 5.5261 0.0000 0.0000 0.0000 5.8893" Properties=species:S:1:pos:R:3 pbc="T T T"
Cs 0.0000 0.0000 0.0000
Na 2.7631 2.7631 0.0000
Ti 2.7631 2.7631 2.9446
Te 0.0000 2.7631 2.9446
Te 2.7631 0.0000 2.9446
```



# 3
The following is a PBE calculation of crystalline ScPtNO2 at its relaxed geometry, from Alexandria via LeMat-Bulk.

energy relative to the elements, uncorrected = -21 kJ/mol of formula units
space group = P4/mmm, No. 123
calculated volume = 68.1 Å³/cell

```
5
Lattice="3.9836 0.0000 0.0000 0.0000 3.9836 0.0000 0.0000 0.0000 4.2899" Properties=species:S:1:pos:R:3 pbc="T T T"
Sc 0.0000 0.0000 0.0000
Pt 1.9918 1.9918 2.1450
N 0.0000 0.0000 2.1450
O 0.0000 1.9918 0.0000
O 1.9918 0.0000 0.0000
```



# 4
The following is a PBE calculation of crystalline Mn2MoRu at its relaxed geometry, from Alexandria via LeMat-Bulk.

formation energy from the elements = 260 meV per atom
space group = R-3m, No. 166
calculated volume = 53.4 Å³/cell

```
4
Lattice="1.3245 0.7647 8.7825 -1.3245 0.7647 8.7825 0.0000 -1.5294 8.7825" Properties=species:S:1:pos:R:3 pbc="T T T"
Mn 0.0000 0.0000 6.4972
Mn 0.0000 0.0000 19.8502
Mo 0.0000 0.0000 0.0000
Ru 0.0000 0.0000 13.1737
```



# 5
The following is a PBE calculation of crystalline FeTeHPd2 at its relaxed geometry, from Alexandria via LeMat-Bulk.

E above lowest polymorph = 569 meV/atom
space group = P4/mmm, No. 123
calculated volume = 90.0 Å³/cell

```
5
Lattice="5.0449 0.0000 0.0000 0.0000 5.0449 0.0000 0.0000 0.0000 3.5354" Properties=species:S:1:pos:R:3 pbc="T T T"
Fe 0.0000 0.0000 0.0000
Te 2.5224 2.5224 1.7677
H 2.5224 2.5224 0.0000
Pd 0.0000 2.5224 1.7677
Pd 2.5224 0.0000 1.7677
```



# 6
The following is a PBE calculation of crystalline SmTlSe2 at its relaxed geometry, from Alexandria via LeMat-Bulk.

energy relative to the elements, uncorrected = -534 kJ/mol of formula units
space group = R-3m, No. 166
calculated volume = 122.8 Å³/cell

```
4
Lattice="2.1372 1.2339 7.7586 -2.1372 1.2339 7.7586 0.0000 -2.4678 7.7586" Properties=species:S:1:pos:R:3 pbc="T T T"
Sm 0.0000 0.0000 0.0000
Tl 0.0000 0.0000 11.6379
Se 0.0000 0.0000 6.1408
Se 0.0000 0.0000 17.1349
```



# 7
The following is a PBE calculation of crystalline SmDyPt2 at its relaxed geometry, from Alexandria via LeMat-Bulk.

E above lowest polymorph = 82 meV/atom
formation energy from the elements = -1155 meV per atom
space group = Fm-3m, No. 225
calculated volume = 88.2 Å³/cell

```
4
Lattice="0.0000 3.5332 3.5332 3.5332 0.0000 3.5332 3.5332 3.5332 0.0000" Properties=species:S:1:pos:R:3 pbc="T T T"
Sm 0.0000 0.0000 0.0000
Dy 3.5332 3.5332 3.5332
Pt 1.7666 1.7666 1.7666
Pt 5.2998 5.2998 5.2998
```



# 8
The following is a PBE calculation of crystalline PPdO3 at its relaxed geometry, from Alexandria via LeMat-Bulk.

energy relative to the elements, uncorrected = -195 kJ/mol of formula units
space group = Pm-3m, No. 221
calculated volume = 45.3 Å³/cell

```
5
Lattice="3.5637 0.0000 0.0000 0.0000 3.5637 0.0000 0.0000 0.0000 3.5637" Properties=species:S:1:pos:R:3 pbc="T T T"
P 0.0000 0.0000 0.0000
Pd 1.7819 1.7819 1.7819
O 0.0000 0.0000 1.7819
O 0.0000 1.7819 0.0000
O 1.7819 0.0000 0.0000
```